Here is Nb2Au after structural relaxation from OQMD. Energies are from GGA-PBE.

For the energy of formation, the calculation gives 215 meV per atom.

a = 5.383 Å, b = 5.383 Å, c = 5.383 Å
α = 60.00°, β = 60.00°, γ = 60.00°
Atoms (fractional coordinates):
Nb  0.000  0.000  0.000
Nb  0.000  0.000  0.500
Nb  0.000  0.500  0.000
Nb  0.500  0.000  0.000
Au  0.375  0.375  0.375
Au  0.625  0.625  0.625